Entry 1:
Material: RbLi2GaOs
Method: DFT, SCAN
State: single point on PBEsol structure

**VASP energy**: -21.01 eV per atom
**Mass density**: 6.41 g/cm3
**Crystal system**: tetragonal
**V**: 18.6 A^3/atom
**SG**: P4/mmm
**Calculated formation energy**: 1.74 eV/atom

extended XYZ file:
```
5
Lattice="-0.331 4.107 0.381 -2.825 -0.504 2.981 3.947 -0.028 3.736" Properties=species:S:1:pos:R:3 pbc="T T T"
Os 0.396 1.787 3.549
Ga 1.974 -0.014 1.868
Rb 0.000 0.000 0.000
Li -1.412 -0.252 1.490
Li -0.166 2.053 0.190
```

***

Entry 2:
Material: Li3GaP
Method: DFT, SCAN
State: single point on PBEsol structure

**VASP energy**: -7.01 eV per atom
**Mass density**: 2.07 g/cm3
**Crystal system**: cubic
**V**: 19.5 A^3/atom
**SG**: Pm-3m
**Calculated formation energy**: -0.23 eV/atom

extended XYZ file:
```
5
Lattice="-3.728 -1.849 1.971 -0.964 -2.229 -3.912 2.525 -3.580 1.418" Properties=species:S:1:pos:R:3 pbc="T T T"
P 0.000 0.000 0.000
Ga -1.083 -3.829 -0.261
Li -0.482 -1.114 -1.956
Li 1.262 -1.790 0.709
Li -1.864 -0.924 0.986
```